Here is a relaxed structure of TaGaTeC2 from Alexandria via LeMat-Bulk. Energies are from GGA-PBE.

Lattice parameters (Å, degrees): 4.0963 5.2163 4.0963 90.00 90.00 90.00
With the nearest neighbours (Å) after each atom.
Fractional positions:
C 0.0000 0.0000 0.5000  2 Te 2.05
C 0.5000 0.0000 0.0000  2 Te 2.05
Te 0.0000 0.0000 0.0000  4 C 2.05
Ga 0.0000 0.5000 0.0000  2 Te 2.61, 4 Ta 2.90
Ta 0.5000 0.5000 0.5000  4 Ga 2.90

Space-group type   No. 123
D(E_F)   0.679 states/eV per atom
Total DFT energy (no corrections)   -4.67 eV per atom
Mass density   7.63 g/cm3
Energy relative to the elements, uncorrected   2.619 eV/atom